(i)
4
Lattice="4.061 0.000 0.000 0.000 4.061 0.000 0.000 0.000 7.192" Properties=species:S:1:pos:R:3 comment="Te2BrCl, optimized geometry, DFT PBE" n_ef_per_ev_fu=4.373 spacegroup="No. 123" pbc="T T T"
Te 0.000 0.000 6.750
Te 0.000 0.000 4.038
Br 2.030 2.030 1.798
Cl 2.030 2.030 5.394

***

(ii)
4
Lattice="-0.738 2.254 -3.866 -4.404 0.331 1.033 1.314 6.475 3.524" Properties=species:S:1:pos:R:3 comment="Te2BrCl, optimized geometry, DFT PBE" n_ef_per_ev_fu=1.823 spacegroup="No. 99" pbc="T T T"
Te 0.122 0.602 0.328
Te -2.378 2.242 -0.900
Br 0.570 2.811 1.530
Cl -1.485 6.644 1.496

***

How do the energies compare? Relative to the most stable structure, in meV per atom: (i) 422; (ii) 0.

***

(i)
4
Lattice="1.359 -3.443 3.771 -3.385 -3.782 1.470 0.966 -5.042 -1.250" Properties=species:S:1:pos:R:3 comment="Te2BrCl, optimized geometry, DFT PBE" n_ef_per_ev_fu=3.548 spacegroup="No. 225" pbc="T T T"
Te -0.265 -3.067 0.998
Te -0.794 -9.200 2.993
Br -0.530 -6.133 1.995
Cl 0.000 0.000 0.000

***

(ii)
4
Lattice="5.755 0.005 0.000 1.998 5.397 0.000 -3.876 -2.701 3.286" Properties=species:S:1:pos:R:3 comment="Te2BrCl, optimized geometry, DFT PBE" n_ef_per_ev_fu=3.205 spacegroup="No. 139" pbc="T T T"
Te 0.000 0.000 0.000
Te 3.876 2.701 0.000
Br 0.999 2.698 1.643
Cl 2.877 0.002 1.643

***

How do the energies compare? Relative to the most stable structure, in meV per atom: (i) 169; (ii) 0.